Entry 1:
Below is a relaxed structure of AlInOs, with properties calculated at the PBE level.

Structure (POSCAR):
```
AlInOs
1.0
2.998 0.000 0.000
-1.499 2.596 0.000
0.000 0.000 6.706
Al In Os
1 1 1
Direct
0.000 0.000 0.000
0.333 0.667 0.383
0.667 0.333 0.723
```

Computed properties:
Formation energy ... 0.2018 eV/atom
ρ ... 10.565 g/cm3
Magnetic moment ... 0.000 μB/f.u.
Energy ... -5.702 eV per atom
Space group ... P3m1, No. 156

=====

Entry 2:
Below is a relaxed structure of Al3InOs, with properties calculated at the PBE level.

Structure (POSCAR):
```
Al3InOs
1.0
4.957 0.000 0.000
0.000 4.957 0.000
0.000 0.000 4.957
Al In Os
3 1 1
Direct
0.000 0.000 0.500
0.000 0.500 0.000
0.500 0.000 0.000
0.000 0.000 0.000
0.500 0.500 0.500
```

Computed properties:
Formation energy ... 1.7713 eV/atom
ρ ... 5.262 g/cm3
Magnetic moment ... 1.640 μB/f.u.
Energy ... -3.268 eV per atom
Space group ... Pm-3m, No. 221

=====

Entry 3:
Below is a relaxed structure of AlIn2SnOs, with properties calculated at the PBE level.

Structure (POSCAR):
```
AlIn2SnOs
1.0
5.113 0.000 0.000
0.000 5.113 0.000
0.000 0.000 5.186
Al In Sn Os
1 2 1 1
Direct
0.000 0.000 0.000
0.000 0.500 0.000
0.500 0.000 0.000
0.000 0.000 0.500
0.500 0.500 0.500
```

Computed properties:
Formation energy ... 1.4026 eV/atom
ρ ... 6.928 g/cm3
Magnetic moment ... 2.254 μB/f.u.
Energy ... -3.488 eV per atom
Space group ... P4/mmm, No. 123

=====

Entry 4:
Below is a relaxed structure of AlVInOs2, with properties calculated at the PBE level.

Structure (POSCAR):
```
AlVInOs2
1.0
4.843 0.000 0.000
0.000 4.843 0.000
0.000 0.000 4.729
Al V In Os
1 1 1 2
Direct
0.000 0.000 0.000
0.500 0.500 0.000
0.500 0.500 0.500
0.000 0.500 0.500
0.500 0.000 0.500
```

Computed properties:
Formation energy ... 2.2629 eV/atom
ρ ... 8.582 g/cm3
Magnetic moment ... 2.244 μB/f.u.
Energy ... -5.349 eV per atom
Space group ... P4/mmm, No. 123

=====

Entry 5:
Below is a relaxed structure of AlInP2, with properties calculated at the PBE level.

Structure (POSCAR):
```
AlInP2
1.0
-1.591 2.692 4.500
1.591 -2.692 4.500
1.591 2.692 -4.500
Al In P
1 1 2
Direct
0.000 0.000 0.000
0.289 0.789 0.500
0.580 0.580 0.000
0.756 0.256 0.500
```

Computed properties:
Formation energy ... 0.2147 eV/atom
ρ ... 4.390 g/cm3
Magnetic moment ... 0.000 μB/f.u.
Energy ... -4.110 eV per atom
Space group ... Imm2, No. 44

=====

Entry 6:
Below is a relaxed structure of Al2InP, with properties calculated at the PBE level.

Structure (POSCAR):
```
Al2InP
1.0
-2.085 2.085 4.328
2.085 -2.085 4.328
2.085 2.085 -4.328
Al In P
2 1 1
Direct
0.000 0.000 0.000
0.750 0.250 0.500
0.250 0.750 0.500
0.500 0.500 0.000
```

Computed properties:
Formation energy ... 0.2843 eV/atom
ρ ... 4.408 g/cm3
Magnetic moment ... 0.000 μB/f.u.
Energy ... -3.624 eV per atom
Space group ... I-4m2, No. 119

=====

Entry 7:
Below is a relaxed structure of AlIn2P, with properties calculated at the PBE level.

Structure (POSCAR):
```
AlIn2P
1.0
2.982 -3.739 0.000
2.982 3.739 0.000
0.000 0.000 3.884
Al In P
1 2 1
Direct
0.000 0.000 0.000
0.000 0.500 0.500
0.500 0.000 0.500
0.500 0.500 0.000
```

Computed properties:
Formation energy ... 0.2691 eV/atom
ρ ... 5.513 g/cm3
Magnetic moment ... 0.000 μB/f.u.
Energy ... -3.388 eV per atom
Space group ... Cmmm, No. 65

=====

Entry 8:
Below is a relaxed structure of AlIn2P, with properties calculated at the PBE level.

Structure (POSCAR):
```
AlIn2P
1.0
-1.811 2.333 5.325
1.811 -2.333 5.325
1.811 2.333 -5.325
Al In P
1 2 1
Direct
0.000 0.000 0.000
0.272 0.772 0.500
0.566 0.566 0.000
0.850 0.350 0.500
```

Computed properties:
Formation energy ... 0.0821 eV/atom
ρ ... 5.306 g/cm3
Magnetic moment ... 0.000 μB/f.u.
Energy ... -3.575 eV per atom
Space group ... Imm2, No. 44

=====

Entry 9:
Below is a relaxed structure of AlInP2, with properties calculated at the PBE level.

Structure (POSCAR):
```
AlInP2
1.0
3.368 0.000 0.000
0.000 3.368 0.000
0.000 0.000 6.848
Al In P
1 1 2
Direct
0.000 0.000 0.000
0.000 0.000 0.500
0.500 0.500 0.166
0.500 0.500 0.834
```

Computed properties:
Formation energy ... 0.1104 eV/atom
ρ ... 4.357 g/cm3
Magnetic moment ... 0.000 μB/f.u.
Energy ... -4.215 eV per atom
Space group ... P4/mmm, No. 123

=====

Entry 10:
Below is a relaxed structure of Al2InP, with properties calculated at the PBE level.

Structure (POSCAR):
```
Al2InP
1.0
4.626 -1.774 0.000
4.626 1.774 0.000
-1.926 0.000 4.939
Al In P
2 1 1
Direct
0.000 0.000 0.000
0.138 0.138 0.577
0.769 0.769 0.209
0.437 0.437 0.663
```

Computed properties:
Formation energy ... 0.0656 eV/atom
ρ ... 4.092 g/cm3
Magnetic moment ... 0.000 μB/f.u.
Energy ... -3.843 eV per atom
Space group ... Cm, No. 8

=====

Entry 11:
Below is a relaxed structure of AlInP2, with properties calculated at the PBE level.

Structure (POSCAR):
```
AlInP2
1.0
-2.863 2.863 5.697
2.863 -2.863 5.697
2.863 2.863 -5.697
Al In P
2 2 4
Direct
0.000 0.000 0.000
0.750 0.250 0.500
0.250 0.750 0.500
0.500 0.500 0.000
0.097 0.625 0.972
0.375 0.347 0.472
0.653 0.125 0.028
0.875 0.903 0.528
```

Computed properties:
Formation energy ... -0.4116 eV/atom
ρ ... 3.624 g/cm3
Magnetic moment ... 0.000 μB/f.u.
Energy ... -4.737 eV per atom
Space group ... I-42d, No. 122

=====

Entry 12:
Below is a relaxed structure of Al2InP, with properties calculated at the PBE level.

Structure (POSCAR):
```
Al2InP
1.0
2.895 -3.633 0.000
2.895 3.633 0.000
0.000 0.000 3.618
Al In P
2 1 1
Direct
0.000 0.500 0.000
0.500 0.000 0.000
0.000 0.000 0.500
0.500 0.500 0.500
```

Computed properties:
Formation energy ... 0.2607 eV/atom
ρ ... 4.360 g/cm3
Magnetic moment ... 0.000 μB/f.u.
Energy ... -3.648 eV per atom
Space group ... Cmmm, No. 65

=====

Entry 13:
Below is a relaxed structure of AlInP2, with properties calculated at the PBE level.

Structure (POSCAR):
```
AlInP2
1.0
3.217 -1.864 0.000
3.217 1.864 0.000
-2.126 0.000 6.234
Al In P
1 1 2
Direct
0.000 0.000 0.000
0.500 0.500 0.500
0.260 0.260 0.780
0.740 0.740 0.220
```

Computed properties:
Formation energy ... -0.1304 eV/atom
ρ ... 4.526 g/cm3
Magnetic moment ... 0.000 μB/f.u.
Energy ... -4.456 eV per atom
Space group ... C2/m, No. 12

=====

Entry 14:
Below is a relaxed structure of Al2InP, with properties calculated at the PBE level.

Structure (POSCAR):
```
Al2InP
1.0
0.000 3.366 3.366
3.366 0.000 3.366
3.366 3.366 0.000
Al In P
2 1 1
Direct
0.250 0.250 0.250
0.750 0.750 0.750
0.000 0.000 0.000
0.500 0.500 0.500
```

Computed properties:
Formation energy ... 0.3072 eV/atom
ρ ... 4.349 g/cm3
Magnetic moment ... 0.000 μB/f.u.
Energy ... -3.601 eV per atom
Space group ... Fm-3m, No. 225

=====

Entry 15:
Below is a relaxed structure of Al2InP, with properties calculated at the PBE level.

Structure (POSCAR):
```
Al2InP
1.0
1.790 1.033 7.204
-1.790 1.033 7.204
0.000 -2.067 7.204
Al In P
2 1 1
Direct
0.232 0.232 0.232
0.768 0.768 0.768
0.000 0.000 0.000
0.500 0.500 0.500
```

Computed properties:
Formation energy ... -0.1006 eV/atom
ρ ... 4.148 g/cm3
Magnetic moment ... 0.000 μB/f.u.
Energy ... -4.009 eV per atom
Space group ... R-3m, No. 166